# 1
{"formula": "Mg3Hg8", "functional": "GGA-PBE", "state": "optimized geometry", "dos_at_fermi_per_ev_atom": 0.340, "formation_enthalpy_0k_mev_per_atom": -7, "spacegroup": "R-3", "lattice": [[4.921, 2.841, 3.525], [-4.921, 2.841, 3.525], [0.000, -5.683, 3.525]], "species": ["Mg", "Mg", "Mg", "Hg", "Hg", "Hg", "Hg", "Hg", "Hg", "Hg", "Hg"], "fractional_positions": [[0.000, 0.500, 0.500], [0.500, 0.000, 0.500], [0.500, 0.500, 0.000], [0.104, 0.881, 0.317], [0.119, 0.683, 0.896], [0.317, 0.104, 0.881], [0.346, 0.346, 0.346], [0.654, 0.654, 0.654], [0.683, 0.896, 0.119], [0.881, 0.317, 0.104], [0.896, 0.119, 0.683]]}

=====

# 2
{"formula": "Mg3Hg2", "functional": "GGA-PBE", "state": "optimized geometry", "dos_at_fermi_per_ev_atom": 0.337, "formation_enthalpy_0k_mev_per_atom": -158, "polymorph_energy_mev_per_atom": 19, "spacegroup": "Fdd2", "lattice": [[0.000, 13.492, 1.726], [4.800, 0.000, 1.726], [4.800, 13.492, 0.000]], "species": ["Mg", "Mg", "Mg", "Mg", "Mg", "Mg", "Hg", "Hg", "Hg", "Hg"], "fractional_positions": [[0.000, 0.000, 0.000], [0.250, 0.250, 0.250], [0.334, 0.671, 0.479], [0.671, 0.334, 0.516], [0.734, 0.771, 0.579], [0.771, 0.734, 0.916], [0.009, 0.492, 0.596], [0.347, 0.654, 0.758], [0.492, 0.009, 0.903], [0.654, 0.347, 0.241]]}

=====

# 3
{"formula": "Mg5Hg3", "functional": "GGA-PBE", "state": "optimized geometry", "dos_at_fermi_per_ev_atom": 0.453, "formation_enthalpy_0k_mev_per_atom": -129, "polymorph_energy_mev_per_atom": 82, "spacegroup": "P-62m", "lattice": [[7.936, 0.000, 0.000], [-3.968, 6.873, 0.000], [0.000, 0.000, 3.247]], "species": ["Mg", "Mg", "Mg", "Mg", "Mg", "Hg", "Hg", "Hg"], "fractional_positions": [[0.000, 0.763, 0.000], [0.237, 0.237, 0.000], [0.333, 0.667, 0.000], [0.667, 0.333, 0.000], [0.763, 0.000, 0.000], [0.000, 0.368, 0.500], [0.368, 0.000, 0.500], [0.632, 0.632, 0.500]]}

=====

# 4
{"formula": "Mg2Hg", "functional": "GGA-PBE", "state": "optimized geometry", "dos_at_fermi_per_ev_atom": 0.656, "formation_enthalpy_0k_mev_per_atom": -129, "spacegroup": "Fm-3m", "lattice": [[0.000, 3.333, 3.333], [3.333, 0.000, 3.333], [3.333, 3.333, 0.000]], "species": ["Mg", "Mg", "Hg"], "fractional_positions": [[0.250, 0.250, 0.250], [0.750, 0.750, 0.750], [0.000, 0.000, 0.000]]}

=====

# 5
{"formula": "MgHg3", "functional": "GGA-PBE", "state": "optimized geometry", "dos_at_fermi_per_ev_atom": 0.322, "formation_enthalpy_0k_mev_per_atom": -60, "spacegroup": "Pmm2", "lattice": [[3.684, 0.000, 0.000], [0.000, 4.787, 0.000], [0.000, 0.000, 5.386]], "species": ["Mg", "Hg", "Hg", "Hg"], "fractional_positions": [[0.000, 0.000, 0.000], [0.000, 0.500, 0.646], [0.500, 0.000, 0.496], [0.500, 0.500, 0.124]]}

=====

# 6
{"formula": "MgHg", "functional": "GGA-PBE", "state": "optimized geometry", "dos_at_fermi_per_ev_atom": 0.326, "formation_enthalpy_0k_mev_per_atom": -155, "spacegroup": "Imma", "lattice": [[-1.946, 2.252, 5.044], [1.946, -2.252, 5.044], [1.946, 2.252, -5.044]], "species": ["Mg", "Mg", "Hg", "Hg"], "fractional_positions": [[0.370, 0.120, 0.250], [0.630, 0.880, 0.750], [0.126, 0.376, 0.750], [0.874, 0.624, 0.250]]}

=====

# 7
{"formula": "MgHg3", "functional": "GGA-PBE", "state": "optimized geometry", "dos_at_fermi_per_ev_atom": 0.368, "formation_enthalpy_0k_mev_per_atom": -66, "spacegroup": "P4/mmm", "lattice": [[3.329, 0.000, 0.000], [0.000, 3.329, 0.000], [0.000, 0.000, 8.487]], "species": ["Mg", "Hg", "Hg", "Hg"], "fractional_positions": [[0.000, 0.000, 0.000], [0.000, 0.000, 0.500], [0.500, 0.500, 0.226], [0.500, 0.500, 0.774]]}

=====

# 8
{"formula": "Mg4Hg3", "functional": "GGA-PBE", "state": "optimized geometry", "dos_at_fermi_per_ev_atom": 0.318, "formation_enthalpy_0k_mev_per_atom": -180, "polymorph_energy_mev_per_atom": 0, "spacegroup": "R-3m", "lattice": [[2.399, 1.385, 8.055], [-2.399, 1.385, 8.055], [0.000, -2.770, 8.055]], "species": ["Mg", "Mg", "Mg", "Mg", "Hg", "Hg", "Hg"], "fractional_positions": [[0.122, 0.122, 0.122], [0.374, 0.374, 0.374], [0.626, 0.626, 0.626], [0.878, 0.878, 0.878], [0.256, 0.256, 0.256], [0.500, 0.500, 0.500], [0.744, 0.744, 0.744]]}

=====

Total magnetization list, top to bottom, in μB per formula unit: 0.00 0.00 0.00 0.00 0.00 0.00 0.00 0.00